A plane-wave DFT calculation with PBE-GGA was carried out for a relaxed GaCuH2Pd5 crystal.

Results
Raw total energy ... -4.578 eV/atom
Space-group type ... P4/mmm (123)

```
9
Lattice="4.0110 0.0000 0.0000 0.0000 4.0110 0.0000 0.0000 0.0000 7.3769" Properties=species:S:1:pos:R:3 pbc="T T T"
Ga 0.0000 0.0000 0.0000
Cu 2.0055 2.0055 3.6884
H 2.0055 2.0055 1.9390
H 2.0055 2.0055 5.4379
Pd 0.0000 2.0055 1.9425
Pd 0.0000 2.0055 5.4344
Pd 2.0055 0.0000 1.9425
Pd 2.0055 0.0000 5.4344
Pd 2.0055 2.0055 0.0000
```